Entry from the Alexandria database: a relaxed structure of BeAgC3 (PBE).

```
BeAgC3
1.0
4.127 0.000 0.000
0.000 4.127 0.000
0.000 0.000 4.127
Be C Ag
1 3 1
Cartesian
2.064 2.064 2.064 Be
0.000 2.064 0.000 C
0.000 0.000 2.064 C
2.064 0.000 0.000 C
0.000 0.000 0.000 Ag
```

Values from the calculation:
Crystal system: cubic
Energy, eV per atom: -3.308
Size of the total moment, μB/f.u.: 0.0
DFT formation energy, eV per atom: 3.5423
Volume, Å³ per atom: 14.1
Space-group type: Pm-3m (221)
D(E_F), states/eV per atom: 0.844
E above lowest polymorph, eV per atom: 1.1180


Entry from the Alexandria database: a relaxed structure of BeAg2C (PBE).

```
BeAg2C
1.0
-0.111 -3.495 -1.658
3.759 0.295 -0.873
3.617 -4.806 5.371
Be C Ag
2 2 4
Cartesian
1.824 -1.600 -1.266 Be
4.600 -3.055 1.616 Be
0.000 0.000 0.000 C
2.665 -4.950 1.223 C
1.303 -3.401 0.173 Ag
3.241 -1.402 0.614 Ag
4.025 -4.809 3.092 Ag
5.960 -6.400 1.800 Ag
```

Values from the calculation:
Crystal system: tetragonal
Energy, eV per atom: -3.254
Size of the total moment, μB/f.u.: 0.0
DFT formation energy, eV per atom: 1.4093
Volume, Å³ per atom: 14.2
Space-group type: I-42d (122)
D(E_F), states/eV per atom: 0.348
E above lowest polymorph, eV per atom: 0.0703